No. 1
NaBi3Pb6 | GGA-PBE | optimized geometry

The structure belongs to space group Cmc2_1 (No. 36); the cell edges are 11.154, 15.654 and 7.825 Å and the angles 90.00°, 90.00° and 90.00°. The distinct sites, in fractional coordinates, are Na at (0.000, 0.171, 0.000), Bi at (0.000, 0.384, 0.898), Bi at (0.195, 0.089, 0.666), Pb at (0.000, 0.045, 0.349), Pb at (0.000, 0.244, 0.563), Pb at (0.153, 0.430, 0.530) and Pb at (0.240, 0.211, 0.316).

As for the density of states at the Fermi level: 0.560 states/eV/atom. The value obtained for the calculated total energy is -3.4968 eV/atom. Its energy of formation from the pure elements is 0.024 eV/atom. The relative energy among the computed polymorphs is 0.005 eV/atom.


No. 2
NaBi4Pb | GGA-PBE | optimized geometry

The structure belongs to space group Cmcm (No. 63); the cell edges are 6.833, 19.664 and 5.742 Å and the angles 90.00°, 90.00° and 90.00°. The distinct sites, in fractional coordinates, are Na at (0.000, 0.124, 0.250), Bi at (0.236, 0.288, 0.250), Bi at (0.245, 0.458, 0.250) and Pb at (0.000, 0.383, 0.750).

As for the density of states at the Fermi level: 0.517 states/eV/atom. The value obtained for the calculated total energy is -3.4972 eV/atom. Its energy of formation from the pure elements is -0.072 eV/atom. The relative energy among the computed polymorphs is 0.000 eV/atom.


No. 3
Na4Bi5Pb2 | GGA-PBE | optimized geometry

The structure belongs to space group P2/m (No. 10); the cell edges are 8.827, 3.435 and 11.182 Å and the angles 90.00°, 94.49° and 90.00°. The distinct sites, in fractional coordinates, are Na at (0.164, 0.000, 0.400), Na at (0.294, 0.000, 0.939), Bi at (0.197, 0.500, 0.671), Bi at (0.434, 0.500, 0.208), Bi at (0.500, 0.500, 0.500) and Pb at (0.065, 0.500, 0.136).

As for the density of states at the Fermi level: 0.441 states/eV/atom. The value obtained for the calculated total energy is -3.0954 eV/atom. Its energy of formation from the pure elements is -0.177 eV/atom.


What is the energy of formation from the pure elements in the second record? -0.072 eV/atom